Record 1
# PrEr2Cu4Sn4 PBE relaxed
data_PrEr2Cu4Sn4
_chemical_formula_sum 'Pr2 Er4 Cu8 Sn8'
_symmetry_space_group_name_H-M 'I m m m'
_symmetry_Int_Tables_number 71
_symmetry_space_group_name_Hall '-I 2 2'
_cell_length_a 4.456
_cell_length_b 7.081
_cell_length_c 14.734
_cell_angle_alpha 90.00
_cell_angle_beta 90.00
_cell_angle_gamma 90.00
loop_
_atom_site_label
_atom_site_type_symbol
_atom_site_fract_x
_atom_site_fract_y
_atom_site_fract_z
Pr1 Pr 0.000 0.000 0.000
Er1 Er 0.000 0.500 0.131
Cu1 Cu 0.000 0.312 0.329
Sn1 Sn 0.000 0.000 0.219
Sn2 Sn 0.000 0.196 0.500
# * theoretical density: 8.6 Mg/m³
# * E: -100.495 eV for the cell shown
# * size of the total moment: 0.0002 μB per atom



Record 2
# HoEr2In3CuPd2 PBE relaxed
data_HoEr2In3CuPd2
_chemical_formula_sum 'Ho2 Er4 In6 Cu2 Pd4'
_symmetry_space_group_name_H-M 'A m m 2'
_symmetry_Int_Tables_number 38
_cell_length_a 3.825
_cell_length_b 13.216
_cell_length_c 7.625
_cell_angle_alpha 90.00
_cell_angle_beta 90.00
_cell_angle_gamma 90.00
loop_
_symmetry_equiv_pos_as_xyz
'x,y,z'
'-x,-y,z'
'-x,y,z'
'x,-y,z'
'x,y+1/2,z+1/2'
'-x,-y+1/2,z+1/2'
'-x,y+1/2,z+1/2'
'x,-y+1/2,z+1/2'
loop_
_atom_site_label
_atom_site_type_symbol
_atom_site_fract_x
_atom_site_fract_y
_atom_site_fract_z
Ho1 Ho 0.000 0.000 0.000
Er1 Er 0.000 0.205 0.614
In1 In 0.500 0.000 0.662
In2 In 0.500 0.126 0.284
Cu1 Cu 0.000 0.000 0.410
Pd1 Pd 0.500 0.167 0.909
# * theoretical density: 9.7 Mg/m³
# * E: -84.606 eV for the cell shown
# * size of the total moment: 0.0013 μB per atom



Record 3
# InHgPb2 PBE relaxed
data_InHgPb2
_chemical_formula_sum 'In4 Hg4 Pb8'
_symmetry_space_group_name_H-M 'F -4 3 m'
_symmetry_Int_Tables_number 216
_symmetry_space_group_name_Hall 'F -4 2 3'
_cell_length_a 7.679
_cell_length_b 7.679
_cell_length_c 7.679
_cell_angle_alpha 90.00
_cell_angle_beta 90.00
_cell_angle_gamma 90.00
loop_
_atom_site_label
_atom_site_type_symbol
_atom_site_fract_x
_atom_site_fract_y
_atom_site_fract_z
In1 In 0.000 0.000 0.000
Hg1 Hg 0.250 0.250 0.250
Pb1 Pb 0.000 0.000 0.500
Pb2 Pb 0.250 0.250 0.750
# * theoretical density: 10.7 Mg/m³
# * E: -41.387 eV for the cell shown



Record 4
# KCu3Te4Mo PBE relaxed
data_KCu3Te4Mo
_chemical_formula_sum 'K1 Cu3 Te4 Mo1'
_symmetry_space_group_name_H-M 'P -4 3 m'
_symmetry_Int_Tables_number 215
_symmetry_space_group_name_Hall 'P -4 2 3'
_cell_length_a 6.522
_cell_length_b 6.522
_cell_length_c 6.522
_cell_angle_alpha 90.00
_cell_angle_beta 90.00
_cell_angle_gamma 90.00
loop_
_atom_site_label
_atom_site_type_symbol
_atom_site_fract_x
_atom_site_fract_y
_atom_site_fract_z
K1 K 0.000 0.000 0.000
Cu1 Cu 0.000 0.500 0.500
Te1 Te 0.273 0.273 0.273
Mo1 Mo 0.500 0.500 0.500
# * theoretical density: 5.0 Mg/m³
# * E: -36.007 eV for the cell shown
# * size of the total moment: 0.2222 μB per atom



Record 5
# TbSnAuSeS2 PBE relaxed
data_TbSnAuSeS2
_chemical_formula_sum 'Tb4 Sn4 Au4 Se4 S8'
_symmetry_space_group_name_H-M 'C m c m'
_symmetry_Int_Tables_number 63
_symmetry_space_group_name_Hall '-C 2c 2'
_cell_length_a 4.133
_cell_length_b 14.404
_cell_length_c 10.510
_cell_angle_alpha 90.00
_cell_angle_beta 90.00
_cell_angle_gamma 90.00
loop_
_atom_site_label
_atom_site_type_symbol
_atom_site_fract_x
_atom_site_fract_y
_atom_site_fract_z
Tb1 Tb 0.000 0.000 0.000
Sn1 Sn 0.000 0.297 0.250
Au1 Au 0.000 0.356 0.750
Se1 Se 0.000 0.071 0.750
S1 S 0.000 0.371 0.526
# * theoretical density: 6.6 Mg/m³
# * E: -117.574 eV for the cell shown
# * size of the total moment: 0.0010 μB per atom



Record 6
# AgPtI6 PBE relaxed
data_AgPtI6
_chemical_formula_sum 'Ag4 Pt4 I24'
_symmetry_space_group_name_H-M 'F -4 3 m'
_symmetry_Int_Tables_number 216
_symmetry_space_group_name_Hall 'F -4 2 3'
_cell_length_a 10.670
_cell_length_b 10.670
_cell_length_c 10.670
_cell_angle_alpha 90.00
_cell_angle_beta 90.00
_cell_angle_gamma 90.00
loop_
_atom_site_label
_atom_site_type_symbol
_atom_site_fract_x
_atom_site_fract_y
_atom_site_fract_z
Ag1 Ag 0.000 0.000 0.000
Pt1 Pt 0.250 0.250 0.750
I1 I 0.000 0.000 0.260
# * theoretical density: 5.8 Mg/m³
# * E: -51.002 eV for the cell shown
# * size of the total moment: 0.2123 μB per atom



Record 7
# PtPbSO PBE relaxed
data_PtPbSO
_chemical_formula_sum 'Pt2 Pb2 S2 O2'
_symmetry_space_group_name_H-M 'P 4/n m m'
_symmetry_Int_Tables_number 129
_cell_length_a 4.677
_cell_length_b 4.677
_cell_length_c 7.550
_cell_angle_alpha 90.00
_cell_angle_beta 90.00
_cell_angle_gamma 90.00
loop_
_symmetry_equiv_pos_as_xyz
'x,y,z'
'-x,-y,-z'
'-y+1/2,x,z'
'y+1/2,-x,-z'
'-x+1/2,-y+1/2,z'
'x+1/2,y+1/2,-z'
'y,-x+1/2,z'
'-y,x+1/2,-z'
'x+1/2,-y,-z'
'-x+1/2,y,z'
'-y,-x,-z'
'y,x,z'
'-x,y+1/2,-z'
'x,-y+1/2,z'
'y+1/2,x+1/2,-z'
'-y+1/2,-x+1/2,z'
loop_
_atom_site_label
_atom_site_type_symbol
_atom_site_fract_x
_atom_site_fract_y
_atom_site_fract_z
Pt1 Pt 0.250 0.250 0.206
Pb1 Pb 0.250 0.750 0.000
S1 S 0.250 0.250 0.698
O1 O 0.250 0.250 0.495
# * theoretical density: 9.1 Mg/m³
# * E: -37.345 eV for the cell shown
# * size of the total moment: 0.0997 μB per atom



Record 8
# TaAs PBE relaxed
data_TaAs
_chemical_formula_sum 'Ta4 As4'
_symmetry_space_group_name_H-M 'F -4 3 m'
_symmetry_Int_Tables_number 216
_symmetry_space_group_name_Hall 'F -4 2 3'
_cell_length_a 5.797
_cell_length_b 5.797
_cell_length_c 5.797
_cell_angle_alpha 90.00
_cell_angle_beta 90.00
_cell_angle_gamma 90.00
loop_
_atom_site_label
_atom_site_type_symbol
_atom_site_fract_x
_atom_site_fract_y
_atom_site_fract_z
Ta1 Ta 0.000 0.000 0.000
As1 As 0.250 0.250 0.250
# * theoretical density: 8.7 Mg/m³
# * E: -61.939 eV for the cell shown
# * size of the total moment: 0.0033 μB per atom



Record 9
# Dy3Ho2Lu2Te2Ir2 PBE relaxed
data_Dy3Ho2Lu2Te2Ir2
_chemical_formula_sum 'Dy6 Ho4 Lu4 Te4 Ir4'
_symmetry_space_group_name_H-M 'I m m 2'
_symmetry_Int_Tables_number 44
_cell_length_a 3.936
_cell_length_b 15.628
_cell_length_c 9.364
_cell_angle_alpha 90.00
_cell_angle_beta 90.00
_cell_angle_gamma 90.00
loop_
_symmetry_equiv_pos_as_xyz
'x,y,z'
'-x,-y,z'
'-x,y,z'
'x,-y,z'
'x+1/2,y+1/2,z+1/2'
'-x+1/2,-y+1/2,z+1/2'
'-x+1/2,y+1/2,z+1/2'
'x+1/2,-y+1/2,z+1/2'
loop_
_atom_site_label
_atom_site_type_symbol
_atom_site_fract_x
_atom_site_fract_y
_atom_site_fract_z
Dy1 Dy 0.000 0.000 0.000
Dy2 Dy 0.000 0.352 0.735
Ho1 Ho 0.000 0.132 0.585
Lu1 Lu 0.000 0.315 0.373
Te1 Te 0.000 0.000 0.339
Te2 Te 0.000 0.500 0.237
Ir1 Ir 0.000 0.239 0.069
# * theoretical density: 10.4 Mg/m³
# * E: -132.712 eV for the cell shown
# * size of the total moment: 0.0020 μB per atom



Record 10
# Cu2AgBi PBE relaxed
data_Cu2AgBi
_chemical_formula_sum 'Cu8 Ag4 Bi4'
_symmetry_space_group_name_H-M 'F -4 3 m'
_symmetry_Int_Tables_number 216
_symmetry_space_group_name_Hall 'F -4 2 3'
_cell_length_a 6.623
_cell_length_b 6.623
_cell_length_c 6.623
_cell_angle_alpha 90.00
_cell_angle_beta 90.00
_cell_angle_gamma 90.00
loop_
_atom_site_label
_atom_site_type_symbol
_atom_site_fract_x
_atom_site_fract_y
_atom_site_fract_z
Cu1 Cu 0.000 0.000 0.000
Cu2 Cu 0.250 0.250 0.250
Ag1 Ag 0.250 0.250 0.750
Bi1 Bi 0.000 0.000 0.500
# * theoretical density: 10.1 Mg/m³
# * E: -52.364 eV for the cell shown